# K2Ta3VO12 GGA+U optimized geometry
# **Density of states at the Fermi level**: 0.580 states/eV per atom
# **Space-group type**: No. 166
# **Energy**: -8.09 eV per atom
# **V**: 15.75 Å³ per atom
data_K2Ta3VO12
_chemical_formula_sum 'K2 Ta3 V1 O12'
_space_group_name_H-M_alt 'P 1'
_space_group_IT_number 1
_cell_length_a 7.327
_cell_length_b 7.327
_cell_length_c 7.327
_cell_angle_alpha 60.85
_cell_angle_beta 60.85
_cell_angle_gamma 60.85
loop_
_space_group_symop_operation_xyz
'x,y,z'
loop_
_atom_site_label
_atom_site_type_symbol
_atom_site_fract_x
_atom_site_fract_y
_atom_site_fract_z
K1 K 0.123 0.123 0.123
K2 K 0.877 0.877 0.877
Ta1 Ta 0.000 0.500 0.500
Ta2 Ta 0.500 0.000 0.500
Ta3 Ta 0.500 0.500 0.000
V1 V 0.500 0.500 0.500
O1 O 0.182 0.182 0.562
O2 O 0.182 0.562 0.182
O3 O 0.200 0.559 0.559
O4 O 0.438 0.818 0.818
O5 O 0.441 0.441 0.800
O6 O 0.441 0.800 0.441
O7 O 0.559 0.200 0.559
O8 O 0.559 0.559 0.200
O9 O 0.562 0.182 0.182
O10 O 0.800 0.441 0.441
O11 O 0.818 0.438 0.818
O12 O 0.818 0.818 0.438